Computed, not measured: a relaxed CdFeHg2 crystal at the PBE level of DFT.

```
CdFeHg2
1.0
4.2403 0.0000 0.0000
0.0000 4.2403 0.0000
2.1202 2.1202 9.8654
Fe Cd Hg
2 2 4
Cartesian
2.1202 2.1202 0.0000
2.1202 4.2403 4.9327
4.2403 2.1202 4.9327
0.0000 0.0000 0.0000
3.1220 1.0601 2.4663
1.1183 3.1802 2.4663
3.1802 3.2385 7.3990
5.3004 5.2422 7.3990
```

formation enthalpy at 0 K: 0.48 eV per atom
theoretical density: 10.66 g/cm3
space-group type: No. 122

***

Computed, not measured: a relaxed LiAc2NdSe4 crystal at the PBE level of DFT.

```
LiAc2NdSe4
1.0
-0.8061 -1.8580 3.8485
4.9325 -5.2504 -1.5017
6.8439 2.1230 2.4584
Li Ac Se Nd
1 2 4 1
Cartesian
2.0632 -3.5542 1.1734
6.8439 2.1229 2.4584
3.0189 0.1324 3.1535
4.9053 -4.2365 1.4393
2.1611 -2.7766 4.0266
6.0650 -0.7490 3.3659
8.8092 -2.2090 0.7787
5.8882 -1.5637 0.4784
```

theoretical density: 6.71 g/cm3
space-group type: No. 10
formation energy (no corrections): -1.765 eV per atom

***

Computed, not measured: a relaxed Th2FeNi crystal at the PBE level of DFT.

```
Th2FeNi
1.0
3.7985 0.0000 0.0000
1.8993 3.2896 0.0000
1.8993 1.0965 8.1946
Fe Ni Th
1 1 2
Cartesian
3.7985 2.1931 4.0973
0.0000 0.0000 0.0000
1.8993 1.0965 5.6336
5.6978 3.2896 2.5610
```

formation enthalpy at 0 K: 0.41 eV per atom
theoretical density: 9.38 g/cm3
space-group type: No. 166
offset from the most stable computed form: 0.677 eV per atom